No. 1
Entry from the Alexandria database: a relaxed LiCrH2 crystal (GGA-PBE).

Summary:
V (Å³ per cell): 28.3
Uncorrected energy (eV/atom): -4.648
Total moment (μB per formula unit): 0.3
Relative energy among the computed polymorphs (meV/atom): 0
Density (g/cm³): 3.57
Space group: R-3m

a = 4.910 Å, b = 4.910 Å, c = 4.910 Å
α = 31.28°, β = 31.28°, γ = 31.28°
Atoms (fractional coordinates):
Li (0.000, 0.000, 0.000)
Cr (0.500, 0.500, 0.500)
H (0.238, 0.238, 0.238)
H (0.762, 0.762, 0.762)

No. 2
Entry from the Alexandria database: a relaxed NaSr6Tl3 crystal (GGA-PBE).

Summary:
V (Å³ per cell): 822.7
Uncorrected energy (eV/atom): -2.087
Total moment (μB per formula unit): 0.0
Density (g/cm³): 4.69
Space group: P2_1/m

a = 9.019 Å, b = 5.037 Å, c = 18.122 Å
α = 90.00°, β = 92.05°, γ = 90.00°
Atoms (fractional coordinates):
Na (0.229, 0.250, 0.270)
Na (0.771, 0.750, 0.730)
Sr (0.003, 0.750, 0.400)
Sr (0.161, 0.750, 0.775)
Sr (0.207, 0.750, 0.121)
Sr (0.321, 0.250, 0.949)
Sr (0.349, 0.250, 0.466)
Sr (0.465, 0.250, 0.699)
Sr (0.535, 0.750, 0.301)
Sr (0.651, 0.750, 0.534)
Sr (0.679, 0.750, 0.051)
Sr (0.793, 0.250, 0.879)
Sr (0.839, 0.250, 0.225)
Sr (0.997, 0.250, 0.600)
Tl (0.027, 0.750, 0.946)
Tl (0.265, 0.750, 0.587)
Tl (0.485, 0.250, 0.147)
Tl (0.515, 0.750, 0.853)
Tl (0.735, 0.250, 0.413)
Tl (0.973, 0.250, 0.054)

No. 3
Entry from the Alexandria database: a relaxed LaHfOs2 crystal (GGA-PBE).

Summary:
V (Å³ per cell): 165.5
Uncorrected energy (eV/atom): -8.900
Total moment (μB per formula unit): 0.0
Density (g/cm³): 14.01
Space group: I-42d

a = 6.055 Å, b = 6.055 Å, c = 6.055 Å
α = 103.98°, β = 103.98°, γ = 121.12°
Atoms (fractional coordinates):
La (0.000, 0.000, 0.000)
La (0.750, 0.250, 0.500)
Hf (0.250, 0.750, 0.500)
Hf (0.500, 0.500, 0.000)
Os (0.142, 0.625, 0.017)
Os (0.375, 0.392, 0.517)
Os (0.608, 0.125, 0.983)
Os (0.875, 0.858, 0.483)

No. 4
Entry from the Alexandria database: a relaxed Zn2Ge2Te crystal (GGA-PBE).

Summary:
V (Å³ per cell): 207.7
Uncorrected energy (eV/atom): -2.788
Total moment (μB per formula unit): 0.0
Relative energy among the computed polymorphs (meV/atom): 6
Density (g/cm³): 6.45
Space group: P4/mbm

a = 8.288 Å, b = 8.288 Å, c = 3.024 Å
α = 90.00°, β = 90.00°, γ = 90.00°
Atoms (fractional coordinates):
Zn (0.114, 0.386, 0.000)
Zn (0.386, 0.886, 0.000)
Zn (0.614, 0.114, 0.000)
Zn (0.886, 0.614, 0.000)
Ge (0.187, 0.687, 0.500)
Ge (0.313, 0.187, 0.500)
Ge (0.687, 0.813, 0.500)
Ge (0.813, 0.313, 0.500)
Te (0.000, 0.000, 0.500)
Te (0.500, 0.500, 0.500)

No. 5
Entry from the Alexandria database: a relaxed AcGa3Pt2 crystal (GGA-PBE).

Summary:
V (Å³ per cell): 250.8
Uncorrected energy (eV/atom): -5.023
Total moment (μB per formula unit): 0.0
Relative energy among the computed polymorphs (meV/atom): 39
Density (g/cm³): 10.94
Space group: C2/m

a = 8.072 Å, b = 8.072 Å, c = 8.075 Å
α = 112.34°, β = 112.34°, γ = 31.26°
Atoms (fractional coordinates):
Ac (0.146, 0.146, 0.090)
Ac (0.854, 0.854, 0.910)
Ga (0.015, 0.015, 0.349)
Ga (0.322, 0.322, 0.556)
Ga (0.374, 0.374, 0.255)
Ga (0.626, 0.626, 0.745)
Ga (0.678, 0.678, 0.444)
Ga (0.985, 0.985, 0.651)
Pt (0.174, 0.174, 0.634)
Pt (0.485, 0.485, 0.821)
Pt (0.515, 0.515, 0.179)
Pt (0.826, 0.826, 0.366)

No. 6
Entry from the Alexandria database: a relaxed Eu3Nb crystal (GGA-PBE).

Summary:
V (Å³ per cell): 124.0
Uncorrected energy (eV/atom): -9.685
Total moment (μB per formula unit): 19.3
Relative energy among the computed polymorphs (meV/atom): 6
Density (g/cm³): 7.35
Space group: I4/mmm

a = 6.007 Å, b = 6.007 Å, c = 6.007 Å
α = 130.06°, β = 130.06°, γ = 73.32°
Atoms (fractional coordinates):
Eu (0.000, 0.000, 0.000)
Eu (0.250, 0.750, 0.500)
Eu (0.750, 0.250, 0.500)
Nb (0.500, 0.500, 0.000)

No. 7
Entry from the Alexandria database: a relaxed Ti3Mn4P4 crystal (GGA-PBE).

Summary:
V (Å³ per cell): 139.9
Uncorrected energy (eV/atom): -8.331
Total moment (μB per formula unit): 4.8
Density (g/cm³): 5.78
Space group: Immm

a = 7.066 Å, b = 7.066 Å, c = 7.066 Å
α = 151.10°, β = 124.05°, γ = 64.19°
Atoms (fractional coordinates):
Ti (0.000, 0.000, 0.000)
Ti (0.384, 0.884, 0.500)
Ti (0.616, 0.116, 0.500)
Mn (0.020, 0.323, 0.697)
Mn (0.374, 0.677, 0.697)
Mn (0.626, 0.323, 0.303)
Mn (0.980, 0.677, 0.303)
P (0.225, 0.225, 0.000)
P (0.294, 0.500, 0.794)
P (0.706, 0.500, 0.206)
P (0.775, 0.775, 0.000)

No. 8
Entry from the Alexandria database: a relaxed SrTlPRu crystal (GGA-PBE).

Summary:
V (Å³ per cell): 94.5
Uncorrected energy (eV/atom): -5.107
Total moment (μB per formula unit): 0.0
Relative energy among the computed polymorphs (meV/atom): 1
Density (g/cm³): 7.45
Space group: Cm

a = 3.823 Å, b = 3.823 Å, c = 7.785 Å
α = 104.26°, β = 104.26°, γ = 60.05°
Atoms (fractional coordinates):
Sr (0.000, 0.000, 0.000)
Tl (0.787, 0.787, 0.360)
P (0.240, 0.240, 0.722)
Ru (0.546, 0.546, 0.640)

No. 9
Entry from the Alexandria database: a relaxed Cu2MoRh crystal (GGA-PBE).

Summary:
V (Å³ per cell): 55.8
Uncorrected energy (eV/atom): -6.364
Total moment (μB per formula unit): 0.0
Density (g/cm³): 9.69
Space group: Immm

a = 5.239 Å, b = 5.239 Å, c = 5.239 Å
α = 149.58°, β = 129.37°, γ = 60.22°
Atoms (fractional coordinates):
Cu (0.247, 0.247, 0.000)
Cu (0.753, 0.753, 0.000)
Mo (0.500, 0.000, 0.500)
Rh (0.000, 0.500, 0.500)

No. 10
Entry from the Alexandria database: a relaxed ScMn2Cr crystal (GGA-PBE).

Summary:
V (Å³ per cell): 58.0
Uncorrected energy (eV/atom): -8.128
Total moment (μB per formula unit): 3.5
Relative energy among the computed polymorphs (meV/atom): 386
Density (g/cm³): 5.92
Space group: R3m

a = 8.515 Å, b = 8.515 Å, c = 8.515 Å
α = 19.14°, β = 19.14°, γ = 19.14°
Atoms (fractional coordinates):
Sc (0.000, 0.000, 0.000)
Mn (0.508, 0.508, 0.508)
Mn (0.762, 0.762, 0.762)
Cr (0.241, 0.241, 0.241)

No. 11
Entry from the Alexandria database: a relaxed Mg6InPd5 crystal (GGA-PBE).

Summary:
V (Å³ per cell): 204.8
Uncorrected energy (eV/atom): -3.815
Total moment (μB per formula unit): 0.0
Density (g/cm³): 6.43
Space group: Immm

a = 7.830 Å, b = 7.830 Å, c = 7.830 Å
α = 146.93°, β = 127.79°, γ = 63.21°
Atoms (fractional coordinates):
Mg (0.061, 0.326, 0.734)
Mg (0.221, 0.000, 0.221)
Mg (0.408, 0.674, 0.734)
Mg (0.592, 0.326, 0.266)
Mg (0.779, 0.000, 0.779)
Mg (0.939, 0.674, 0.266)
In (0.500, 0.500, 0.000)
Pd (0.000, 0.500, 0.500)
Pd (0.171, 0.171, 0.000)
Pd (0.344, 0.844, 0.500)
Pd (0.656, 0.156, 0.500)
Pd (0.829, 0.829, 0.000)

No. 12
Entry from the Alexandria database: a relaxed BeTlIr2 crystal (GGA-PBE).

Summary:
V (Å³ per cell): 66.4
Uncorrected energy (eV/atom): -5.806
Total moment (μB per formula unit): 0.0
Relative energy among the computed polymorphs (meV/atom): 12
Density (g/cm³): 14.95
Space group: C2/m

a = 3.967 Å, b = 3.967 Å, c = 6.325 Å
α = 94.30°, β = 94.30°, γ = 41.99°
Atoms (fractional coordinates):
Be (0.000, 0.000, 0.000)
Tl (0.000, 0.000, 0.500)
Ir (0.308, 0.308, 0.166)
Ir (0.692, 0.692, 0.834)

No. 13
Entry from the Alexandria database: a relaxed Ac2ZnAg3 crystal (GGA-PBE).

Summary:
V (Å³ per cell): 322.8
Uncorrected energy (eV/atom): -3.321
Total moment (μB per formula unit): 0.0
Density (g/cm³): 8.67
Space group: Fmmm

a = 9.595 Å, b = 9.227 Å, c = 6.286 Å
α = 73.69°, β = 67.36°, γ = 38.96°
Atoms (fractional coordinates):
Ac (0.246, 0.754, 0.754)
Ac (0.250, 0.250, 0.250)
Ac (0.750, 0.750, 0.750)
Ac (0.754, 0.246, 0.246)
Zn (0.333, 0.333, 0.667)
Zn (0.667, 0.667, 0.333)
Ag (0.170, 0.170, 0.830)
Ag (0.172, 0.658, 0.342)
Ag (0.342, 0.828, 0.172)
Ag (0.658, 0.172, 0.828)
Ag (0.828, 0.342, 0.658)
Ag (0.830, 0.830, 0.170)

No. 14
Entry from the Alexandria database: a relaxed ScCoSbTe2 crystal (GGA-PBE).

Summary:
V (Å³ per cell): 127.9
Uncorrected energy (eV/atom): -4.699
Total moment (μB per formula unit): 0.0
Relative energy among the computed polymorphs (meV/atom): 0
Density (g/cm³): 6.24
Space group: P4/mmm

a = 5.246 Å, b = 5.246 Å, c = 4.647 Å
α = 90.00°, β = 90.00°, γ = 90.00°
Atoms (fractional coordinates):
Sc (0.000, 0.000, 0.000)
Co (0.500, 0.500, 0.500)
Sb (0.500, 0.500, 0.000)
Te (0.000, 0.500, 0.500)
Te (0.500, 0.000, 0.500)

No. 15
Entry from the Alexandria database: a relaxed MoAsP2 crystal (GGA-PBE).

Summary:
V (Å³ per cell): 71.6
Uncorrected energy (eV/atom): -6.545
Total moment (μB per formula unit): 0.0
Density (g/cm³): 5.40
Space group: Amm2

a = 4.554 Å, b = 4.333 Å, c = 4.333 Å
α = 56.85°, β = 90.00°, γ = 90.00°
Atoms (fractional coordinates):
Mo (0.000, 0.000, 0.000)
As (0.500, 0.809, 0.809)
P (0.000, 0.344, 0.344)
P (0.500, 0.140, 0.140)

No. 16
Entry from the Alexandria database: a relaxed NaLa2OsN crystal (GGA-PBE).

Summary:
V (Å³ per cell): 112.3
Uncorrected energy (eV/atom): -6.506
Total moment (μB per formula unit): 0.0
Density (g/cm³): 7.47
Space group: P4/mmm

a = 5.371 Å, b = 5.371 Å, c = 3.892 Å
α = 90.00°, β = 90.00°, γ = 90.00°
Atoms (fractional coordinates):
Na (0.000, 0.000, 0.000)
La (0.000, 0.500, 0.500)
La (0.500, 0.000, 0.500)
Os (0.500, 0.500, 0.000)
N (0.500, 0.500, 0.500)

No. 17
Entry from the Alexandria database: a relaxed Pu2SeS crystal (GGA-PBE).

Summary:
V (Å³ per cell): 189.7
Uncorrected energy (eV/atom): -10.692
Total moment (μB per formula unit): 11.4
Relative energy among the computed polymorphs (meV/atom): 15
Density (g/cm³): 10.49
Space group: I4_1/amd

a = 7.031 Å, b = 7.031 Å, c = 7.031 Å
α = 131.72°, β = 131.72°, γ = 70.67°
Atoms (fractional coordinates):
Pu (0.119, 0.369, 0.750)
Pu (0.369, 0.119, 0.250)
Pu (0.631, 0.881, 0.750)
Pu (0.881, 0.631, 0.250)
Se (0.375, 0.625, 0.750)
Se (0.625, 0.375, 0.250)
S (0.125, 0.875, 0.250)
S (0.875, 0.125, 0.750)

No. 18
Entry from the Alexandria database: a relaxed SmB2C crystal (GGA-PBE).

Summary:
V (Å³ per cell): 87.9
Uncorrected energy (eV/atom): -6.741
Total moment (μB per formula unit): 0.0
Density (g/cm³): 6.95
Space group: Cmcm

a = 8.902 Å, b = 8.902 Å, c = 3.042 Å
α = 90.00°, β = 90.00°, γ = 158.60°
Atoms (fractional coordinates):
Sm (0.109, 0.891, 0.750)
Sm (0.891, 0.109, 0.250)
B (0.250, 0.750, 0.250)
B (0.488, 0.512, 0.750)
B (0.512, 0.488, 0.250)
B (0.750, 0.250, 0.750)
C (0.294, 0.706, 0.750)
C (0.706, 0.294, 0.250)

No. 19
Entry from the Alexandria database: a relaxed YLuRuRh crystal (GGA-PBE).

Summary:
V (Å³ per cell): 77.3
Uncorrected energy (eV/atom): -7.579
Total moment (μB per formula unit): 0.0
Density (g/cm³): 10.05
Space group: F-43m

a = 4.782 Å, b = 4.782 Å, c = 4.782 Å
α = 60.00°, β = 60.00°, γ = 60.00°
Atoms (fractional coordinates):
Y (0.000, 0.000, 0.000)
Lu (0.500, 0.500, 0.500)
Ru (0.750, 0.750, 0.750)
Rh (0.250, 0.250, 0.250)

No. 20
Entry from the Alexandria database: a relaxed SrSmInI6 crystal (GGA-PBE).

Summary:
V (Å³ per cell): 881.6
Uncorrected energy (eV/atom): -3.340
Total moment (μB per formula unit): 0.0
Density (g/cm³): 4.20
Space group: P-31c

a = 8.213 Å, b = 8.213 Å, c = 15.090 Å
α = 90.00°, β = 90.00°, γ = 120.00°
Atoms (fractional coordinates):
Sr (0.333, 0.667, 0.250)
Sr (0.667, 0.333, 0.750)
Sm (0.333, 0.667, 0.750)
Sm (0.667, 0.333, 0.250)
In (0.000, 0.000, 0.000)
In (0.000, 0.000, 0.500)
I (0.018, 0.367, 0.630)
I (0.018, 0.651, 0.870)
I (0.349, 0.367, 0.870)
I (0.349, 0.982, 0.630)
I (0.367, 0.018, 0.130)
I (0.367, 0.349, 0.370)
I (0.633, 0.651, 0.630)
I (0.633, 0.982, 0.870)
I (0.651, 0.018, 0.370)
I (0.651, 0.633, 0.130)
I (0.982, 0.349, 0.130)
I (0.982, 0.633, 0.370)

No. 21
Entry from the Alexandria database: a relaxed SiNi3Sn crystal (GGA-PBE).

Summary:
V (Å³ per cell): 100.1
Uncorrected energy (eV/atom): -4.200
Total moment (μB per formula unit): 0.0
Relative energy among the computed polymorphs (meV/atom): 1002
Density (g/cm³): 5.36
Space group: Pm-3m

a = 4.642 Å, b = 4.642 Å, c = 4.642 Å
α = 90.00°, β = 90.00°, γ = 90.00°
Atoms (fractional coordinates):
Si (0.000, 0.000, 0.000)
Ni (0.000, 0.500, 0.500)
Ni (0.500, 0.000, 0.500)
Ni (0.500, 0.500, 0.000)
Sn (0.500, 0.500, 0.500)

No. 22
Entry from the Alexandria database: a relaxed Ce2AlSiRh6 crystal (GGA-PBE).

Summary:
V (Å³ per cell): 184.0
Uncorrected energy (eV/atom): -7.039
Total moment (μB per formula unit): 1.2
Density (g/cm³): 8.60
Space group: Fm-3m

a = 6.385 Å, b = 6.385 Å, c = 6.385 Å
α = 60.00°, β = 60.00°, γ = 60.00°
Atoms (fractional coordinates):
Ce (0.250, 0.250, 0.250)
Ce (0.750, 0.750, 0.750)
Al (0.000, 0.000, 0.000)
Si (0.500, 0.500, 0.500)
Rh (0.254, 0.254, 0.746)
Rh (0.254, 0.746, 0.254)
Rh (0.254, 0.746, 0.746)
Rh (0.746, 0.254, 0.254)
Rh (0.746, 0.254, 0.746)
Rh (0.746, 0.746, 0.254)

No. 23
Entry from the Alexandria database: a relaxed Sr2RhAu crystal (GGA-PBE).

Summary:
V (Å³ per cell): 119.9
Uncorrected energy (eV/atom): -3.741
Total moment (μB per formula unit): 0.1
Density (g/cm³): 6.58
Space group: P4mm

a = 4.411 Å, b = 4.411 Å, c = 6.163 Å
α = 90.00°, β = 90.00°, γ = 90.00°
Atoms (fractional coordinates):
Sr (0.000, 0.000, 0.000)
Sr (0.500, 0.500, 0.493)
Rh (0.500, 0.500, 0.992)
Au (0.000, 0.000, 0.502)

No. 24
Entry from the Alexandria database: a relaxed CsCdSiHg2 crystal (GGA-PBE).

Summary:
V (Å³ per cell): 168.8
Uncorrected energy (eV/atom): -1.486
Total moment (μB per formula unit): 0.0
Density (g/cm³): 6.63
Space group: P4/mmm

a = 5.702 Å, b = 5.702 Å, c = 5.194 Å
α = 90.00°, β = 90.00°, γ = 90.00°
Atoms (fractional coordinates):
Cs (0.000, 0.000, 0.000)
Cd (0.500, 0.500, 0.000)
Si (0.500, 0.500, 0.500)
Hg (0.000, 0.500, 0.500)
Hg (0.500, 0.000, 0.500)